1.
A plane-wave DFT calculation with PBE-GGA was carried out for a geometry-optimized CsSc2CuI8 structure.

Cell and atoms, written as POSCAR:
```
CsSc2CuI8
1.0
3.776 2.180 10.874
-3.776 2.180 10.874
0.000 -4.360 10.874
Cs Sc Cu I
1 2 1 8
Direct
0.000 0.000 0.000 Cs
0.242 0.242 0.242 Sc
0.758 0.758 0.758 Sc
0.500 0.500 0.500 Cu
0.139 0.762 0.442 I
0.238 0.558 0.861 I
0.326 0.326 0.326 I
0.442 0.139 0.762 I
0.558 0.861 0.238 I
0.674 0.674 0.674 I
0.762 0.442 0.139 I
0.861 0.238 0.558 I
```

Energy relative to the elements, uncorrected ... -997 meV per atom
Space-group type ... R-3
Calculated total energy ... -42.0 eV for the cell shown



2.
A plane-wave DFT calculation with PBE-GGA was carried out for a geometry-optimized CsSmCuI5 structure.

Cell and atoms, written as POSCAR:
```
CsSmCuI5
1.0
5.185 -6.777 0.000
5.185 6.777 0.000
-4.651 0.000 10.601
Cs Sm Cu I
2 2 2 10
Direct
0.144 0.856 0.750 Cs
0.856 0.144 0.250 Cs
0.500 0.500 0.000 Sm
0.500 0.500 0.500 Sm
0.191 0.809 0.250 Cu
0.809 0.191 0.750 Cu
0.115 0.277 0.927 I
0.187 0.600 0.385 I
0.277 0.115 0.427 I
0.400 0.813 0.115 I
0.422 0.578 0.750 I
0.578 0.422 0.250 I
0.600 0.187 0.885 I
0.723 0.885 0.573 I
0.813 0.400 0.615 I
0.885 0.723 0.073 I
```

Energy relative to the elements, uncorrected ... -1104 meV per atom
Space-group type ... C2/c
Calculated total energy ... -52.5 eV for the cell shown
D(E_F) ... 0.00 states/eV/f.u.



3.
A plane-wave DFT calculation with PBE-GGA was carried out for a geometry-optimized Cs2SmCu2I6 structure.

Cell and atoms, written as POSCAR:
```
Cs2SmCu2I6
1.0
7.337 -4.442 0.000
7.337 4.442 0.000
-4.757 0.000 7.494
Cs Sm Cu I
2 1 2 6
Direct
0.234 0.234 0.211 Cs
0.766 0.766 0.789 Cs
0.000 0.000 0.500 Sm
0.435 0.435 0.717 Cu
0.565 0.565 0.283 Cu
0.218 0.731 0.228 I
0.252 0.252 0.699 I
0.269 0.782 0.772 I
0.731 0.218 0.228 I
0.748 0.748 0.301 I
0.782 0.269 0.772 I
```

Energy relative to the elements, uncorrected ... -887 meV per atom
Space-group type ... C2/m
Calculated total energy ... -33.7 eV for the cell shown
D(E_F) ... 2.41 states/eV/f.u.



4.
A plane-wave DFT calculation with PBE-GGA was carried out for a geometry-optimized Cs2SmCuI6 structure.

Cell and atoms, written as POSCAR:
```
Cs2SmCuI6
1.0
5.446 -6.662 0.000
5.446 6.662 0.000
-5.181 0.000 6.341
Cs Sm Cu I
2 1 1 6
Direct
0.243 0.757 0.000 Cs
0.757 0.243 0.000 Cs
0.500 0.500 0.500 Sm
0.000 0.000 0.500 Cu
0.161 0.161 0.380 I
0.268 0.732 0.500 I
0.318 0.318 0.025 I
0.682 0.682 0.975 I
0.732 0.268 0.500 I
0.839 0.839 0.620 I
```

Energy relative to the elements, uncorrected ... -1181 meV per atom
Space-group type ... C2/m
Calculated total energy ... -31.6 eV for the cell shown
D(E_F) ... 0.00 states/eV/f.u.



5.
A plane-wave DFT calculation with PBE-GGA was carried out for a geometry-optimized CsCu4Sn3I12 structure.

Cell and atoms, written as POSCAR:
```
CsCu4Sn3I12
1.0
8.083 4.667 4.013
-8.083 4.667 4.013
0.000 -9.334 4.013
Cs Cu Sn I
1 4 3 12
Direct
0.000 0.000 0.000 Cs
0.071 0.500 0.929 Cu
0.500 0.500 0.500 Cu
0.500 0.929 0.071 Cu
0.929 0.071 0.500 Cu
0.000 0.560 0.440 Sn
0.440 0.000 0.560 Sn
0.560 0.440 0.000 Sn
0.010 0.631 0.759 I
0.088 0.912 0.500 I
0.241 0.369 0.990 I
0.344 0.656 0.500 I
0.369 0.990 0.241 I
0.500 0.088 0.912 I
0.500 0.344 0.656 I
0.631 0.759 0.010 I
0.656 0.500 0.344 I
0.759 0.010 0.631 I
0.912 0.500 0.088 I
0.990 0.241 0.369 I
```

Energy relative to the elements, uncorrected ... -396 meV per atom
Space-group type ... R32
Calculated total energy ... -55.8 eV for the cell shown
D(E_F) ... 10.87 states/eV/f.u.



6.
A plane-wave DFT calculation with PBE-GGA was carried out for a geometry-optimized Cs3CuSn2I9 structure.

Cell and atoms, written as POSCAR:
```
Cs3CuSn2I9
1.0
8.526 0.000 0.000
-4.263 7.383 0.000
0.000 0.000 10.471
Cs Cu Sn I
3 1 2 9
Direct
0.000 0.000 0.000 Cs
0.333 0.667 0.664 Cs
0.667 0.333 0.336 Cs
0.000 0.000 0.500 Cu
0.333 0.667 0.185 Sn
0.667 0.333 0.815 Sn
0.000 0.500 0.000 I
0.158 0.317 0.343 I
0.158 0.842 0.343 I
0.317 0.158 0.657 I
0.500 0.000 0.000 I
0.500 0.500 0.000 I
0.683 0.842 0.343 I
0.842 0.158 0.657 I
0.842 0.683 0.657 I
```

Energy relative to the elements, uncorrected ... -843 meV per atom
Space-group type ... P-3m1
Calculated total energy ... -41.3 eV for the cell shown
D(E_F) ... 3.65 states/eV/f.u.



7.
A plane-wave DFT calculation with PBE-GGA was carried out for a geometry-optimized Cs3Cu2SnI8 structure.

Cell and atoms, written as POSCAR:
```
Cs3Cu2SnI8
1.0
8.447 0.000 0.000
-4.223 7.315 0.000
0.000 0.000 10.660
Cs Cu Sn I
3 2 1 8
Direct
0.000 0.000 0.000 Cs
0.333 0.667 0.631 Cs
0.667 0.333 0.369 Cs
0.333 0.667 0.216 Cu
0.667 0.333 0.784 Cu
0.000 0.000 0.500 Sn
0.168 0.337 0.323 I
0.168 0.832 0.323 I
0.333 0.667 0.983 I
0.337 0.168 0.677 I
0.663 0.832 0.323 I
0.667 0.333 0.017 I
0.832 0.168 0.677 I
0.832 0.663 0.677 I
```

Energy relative to the elements, uncorrected ... -813 meV per atom
Space-group type ... P-3m1
Calculated total energy ... -38.5 eV for the cell shown
D(E_F) ... 5.62 states/eV/f.u.



8.
A plane-wave DFT calculation with PBE-GGA was carried out for a geometry-optimized Cs2Cu2SnI6 structure.

Cell and atoms, written as POSCAR:
```
Cs2Cu2SnI6
1.0
7.246 -4.272 0.000
7.246 4.272 0.000
-4.598 0.000 8.139
Cs Cu Sn I
2 2 1 6
Direct
0.219 0.219 0.212 Cs
0.781 0.781 0.788 Cs
0.449 0.449 0.741 Cu
0.551 0.551 0.259 Cu
0.000 0.000 0.500 Sn
0.199 0.713 0.210 I
0.251 0.251 0.653 I
0.287 0.801 0.790 I
0.713 0.199 0.210 I
0.749 0.749 0.347 I
0.801 0.287 0.790 I
```

Energy relative to the elements, uncorrected ... -738 meV per atom
Space-group type ... C2/m
Calculated total energy ... -31.3 eV for the cell shown
D(E_F) ... 0.00 states/eV/f.u.



9.
A plane-wave DFT calculation with PBE-GGA was carried out for a geometry-optimized CsCuSnI4 structure.

Cell and atoms, written as POSCAR:
```
CsCuSnI4
1.0
7.160 0.000 0.000
0.000 8.296 0.000
-3.237 0.000 9.811
Cs Cu Sn I
2 2 2 8
Direct
0.194 0.250 0.446 Cs
0.806 0.750 0.554 Cs
0.140 0.250 0.823 Cu
0.860 0.750 0.177 Cu
0.331 0.750 0.041 Sn
0.669 0.250 0.959 Sn
0.117 0.250 0.071 I
0.232 0.750 0.338 I
0.322 0.512 0.788 I
0.322 0.988 0.788 I
0.678 0.012 0.212 I
0.678 0.488 0.212 I
0.768 0.250 0.662 I
0.883 0.750 0.929 I
```

Energy relative to the elements, uncorrected ... -680 meV per atom
Space-group type ... P2_1/m
Calculated total energy ... -39.8 eV for the cell shown
D(E_F) ... 0.00 states/eV/f.u.



10.
A plane-wave DFT calculation with PBE-GGA was carried out for a geometry-optimized CsSrCu2I6 structure.

Cell and atoms, written as POSCAR:
```
CsSrCu2I6
1.0
3.841 2.218 9.996
-3.841 2.218 9.996
0.000 -4.436 9.996
Cs Sr Cu I
1 1 2 6
Direct
0.000 0.000 0.000 Cs
0.500 0.500 0.500 Sr
0.233 0.233 0.233 Cu
0.767 0.767 0.767 Cu
0.092 0.761 0.438 I
0.239 0.562 0.908 I
0.438 0.092 0.761 I
0.562 0.908 0.239 I
0.761 0.438 0.092 I
0.908 0.239 0.562 I
```

Energy relative to the elements, uncorrected ... -840 meV per atom
Space-group type ... R-3
Calculated total energy ... -28.4 eV for the cell shown
D(E_F) ... 13.03 states/eV/f.u.



11.
A plane-wave DFT calculation with PBE-GGA was carried out for a geometry-optimized CsSrCuI4 structure.

Cell and atoms, written as POSCAR:
```
CsSrCuI4
1.0
7.384 0.000 0.000
0.000 8.181 0.000
-3.636 0.000 9.864
Cs Sr Cu I
2 2 2 8
Direct
0.183 0.250 0.445 Cs
0.817 0.750 0.555 Cs
0.327 0.750 0.057 Sr
0.673 0.250 0.943 Sr
0.116 0.250 0.823 Cu
0.884 0.750 0.177 Cu
0.140 0.250 0.078 I
0.240 0.750 0.350 I
0.311 0.506 0.786 I
0.311 0.994 0.786 I
0.689 0.006 0.214 I
0.689 0.494 0.214 I
0.760 0.250 0.650 I
0.860 0.750 0.922 I
```

Energy relative to the elements, uncorrected ... -1215 meV per atom
Space-group type ... P2_1/m
Calculated total energy ... -42.7 eV for the cell shown
D(E_F) ... 0.00 states/eV/f.u.



12.
A plane-wave DFT calculation with PBE-GGA was carried out for a geometry-optimized CsTaCu2I8 structure.

Cell and atoms, written as POSCAR:
```
CsTaCu2I8
1.0
5.896 -3.942 0.000
5.896 3.942 0.000
-1.657 0.000 10.986
Cs Ta Cu I
1 1 2 8
Direct
0.000 0.000 0.000 Cs
0.000 0.000 0.500 Ta
0.375 0.375 0.699 Cu
0.625 0.625 0.301 Cu
0.219 0.726 0.320 I
0.235 0.235 0.496 I
0.274 0.781 0.680 I
0.319 0.319 0.907 I
0.681 0.681 0.093 I
0.726 0.219 0.320 I
0.765 0.765 0.504 I
0.781 0.274 0.680 I
```

Energy relative to the elements, uncorrected ... -487 meV per atom
Space-group type ... C2/m
Calculated total energy ... -39.1 eV for the cell shown
D(E_F) ... 0.12 states/eV/f.u.



13.
A plane-wave DFT calculation with PBE-GGA was carried out for a geometry-optimized Cs2TaCuI6 structure.

Cell and atoms, written as POSCAR:
```
Cs2TaCuI6
1.0
-4.093 4.093 5.797
4.093 -4.093 5.797
4.093 4.093 -5.797
Cs Ta Cu I
2 1 1 6
Direct
0.250 0.750 0.500 Cs
0.750 0.250 0.500 Cs
0.000 0.000 0.000 Ta
0.500 0.500 0.000 Cu
0.248 0.248 0.000 I
0.248 0.248 0.496 I
0.248 0.752 0.000 I
0.752 0.248 0.000 I
0.752 0.752 0.000 I
0.752 0.752 0.504 I
```

Energy relative to the elements, uncorrected ... -645 meV per atom
Space-group type ... I4/mmm
Calculated total energy ... -33.4 eV for the cell shown
D(E_F) ... 8.47 states/eV/f.u.



14.
A plane-wave DFT calculation with PBE-GGA was carried out for a geometry-optimized Cs3TbCu2I9 structure.

Cell and atoms, written as POSCAR:
```
Cs3TbCu2I9
1.0
8.300 0.000 0.000
-4.150 7.188 0.000
0.000 0.000 10.296
Cs Tb Cu I
3 1 2 9
Direct
0.000 0.000 0.000 Cs
0.333 0.667 0.667 Cs
0.667 0.333 0.333 Cs
0.000 0.000 0.500 Tb
0.333 0.667 0.129 Cu
0.667 0.333 0.871 Cu
0.000 0.500 0.000 I
0.172 0.343 0.328 I
0.172 0.828 0.328 I
0.343 0.172 0.672 I
0.500 0.000 0.000 I
0.500 0.500 0.000 I
0.657 0.828 0.328 I
0.828 0.172 0.672 I
0.828 0.657 0.672 I
```

Energy relative to the elements, uncorrected ... -986 meV per atom
Space-group type ... P-3m1
Calculated total energy ... -44.1 eV for the cell shown
D(E_F) ... 6.34 states/eV/f.u.



15.
A plane-wave DFT calculation with PBE-GGA was carried out for a geometry-optimized CsTbCu2I6 structure.

Cell and atoms, written as POSCAR:
```
CsTbCu2I6
1.0
7.889 -7.577 0.000
7.889 7.577 0.000
-0.576 0.000 7.738
Cs Tb Cu I
2 2 4 12
Direct
0.079 0.921 0.750 Cs
0.921 0.079 0.250 Cs
0.276 0.724 0.250 Tb
0.724 0.276 0.750 Tb
0.346 0.482 0.732 Cu
0.482 0.346 0.232 Cu
0.518 0.654 0.768 Cu
0.654 0.518 0.268 Cu
0.014 0.735 0.339 I
0.183 0.598 0.909 I
0.265 0.986 0.161 I
0.310 0.460 0.401 I
0.402 0.817 0.591 I
0.460 0.310 0.901 I
0.540 0.690 0.099 I
0.598 0.183 0.409 I
0.690 0.540 0.599 I
0.735 0.014 0.839 I
0.817 0.402 0.091 I
0.986 0.265 0.661 I
```

Energy relative to the elements, uncorrected ... -887 meV per atom
Space-group type ... C2/c
Calculated total energy ... -63.7 eV for the cell shown
D(E_F) ... 0.00 states/eV/f.u.



16.
A plane-wave DFT calculation with PBE-GGA was carried out for a geometry-optimized CsCu2TcI8 structure.

Cell and atoms, written as POSCAR:
```
CsCu2TcI8
1.0
5.831 -3.867 0.000
5.831 3.867 0.000
-2.386 0.000 10.668
Cs Cu Tc I
1 2 1 8
Direct
0.000 0.000 0.000 Cs
0.389 0.389 0.696 Cu
0.611 0.611 0.304 Cu
0.000 0.000 0.500 Tc
0.204 0.713 0.314 I
0.233 0.233 0.492 I
0.287 0.796 0.686 I
0.338 0.338 0.909 I
0.662 0.662 0.091 I
0.713 0.204 0.314 I
0.767 0.767 0.508 I
0.796 0.287 0.686 I
```

Energy relative to the elements, uncorrected ... -326 meV per atom
Space-group type ... C2/m
Calculated total energy ... -35.7 eV for the cell shown
D(E_F) ... 7.92 states/eV/f.u.



17.
A plane-wave DFT calculation with PBE-GGA was carried out for a geometry-optimized CsCuTeI2 structure.

Cell and atoms, written as POSCAR:
```
CsCuTeI2
1.0
5.918 0.000 0.000
0.000 5.918 0.000
0.000 0.000 5.188
Cs Cu Te I
1 1 1 2
Direct
0.000 0.000 0.000 Cs
0.500 0.500 0.500 Cu
0.500 0.500 0.000 Te
0.000 0.500 0.500 I
0.500 0.000 0.500 I
```

Energy relative to the elements, uncorrected ... -419 meV per atom
Space-group type ... P4/mmm
Calculated total energy ... -13.3 eV for the cell shown
D(E_F) ... 3.54 states/eV/f.u.



18.
A plane-wave DFT calculation with PBE-GGA was carried out for a geometry-optimized CsCuTe2I structure.

Cell and atoms, written as POSCAR:
```
CsCuTe2I
1.0
5.190 0.000 0.000
0.000 5.190 0.000
0.000 0.000 6.881
Cs Cu Te I
1 1 2 1
Direct
0.000 0.000 0.000 Cs
0.500 0.500 0.500 Cu
0.000 0.500 0.500 Te
0.500 0.000 0.500 Te
0.500 0.500 0.000 I
```

E above lowest polymorph ... 0.0000 eV/atom
Energy relative to the elements, uncorrected ... -273 meV per atom
Space-group type ... P4/mmm
Calculated total energy ... -14.2 eV for the cell shown
D(E_F) ... 7.63 states/eV/f.u.



19.
A plane-wave DFT calculation with PBE-GGA was carried out for a geometry-optimized Cs2CuTeI6 structure.

Cell and atoms, written as POSCAR:
```
Cs2CuTeI6
1.0
4.228 2.441 14.201
-4.228 2.441 14.201
0.000 -4.882 14.201
Cs Cu Te I
4 2 2 12
Direct
0.119 0.119 0.119 Cs
0.300 0.300 0.300 Cs
0.700 0.700 0.700 Cs
0.881 0.881 0.881 Cs
0.410 0.410 0.410 Cu
0.590 0.590 0.590 Cu
0.000 0.000 0.000 Te
0.500 0.500 0.500 Te
0.127 0.624 0.624 I
0.220 0.220 0.691 I
0.220 0.691 0.220 I
0.309 0.780 0.780 I
0.376 0.376 0.873 I
0.376 0.873 0.376 I
0.624 0.127 0.624 I
0.624 0.624 0.127 I
0.691 0.220 0.220 I
0.780 0.309 0.780 I
0.780 0.780 0.309 I
0.873 0.376 0.376 I
```

E above lowest polymorph ... 0.0449 eV/atom
Energy relative to the elements, uncorrected ... -635 meV per atom
Space-group type ... R-3m
Calculated total energy ... -49.2 eV for the cell shown
D(E_F) ... 3.09 states/eV/f.u.



20.
A plane-wave DFT calculation with PBE-GGA was carried out for a geometry-optimized CsCuTe2I structure.

Cell and atoms, written as POSCAR:
```
CsCuTe2I
1.0
6.412 0.000 0.000
0.000 6.412 0.000
0.000 0.000 7.082
Cs Cu Te I
1 1 2 1
Direct
0.000 0.000 0.000 Cs
0.500 0.500 0.500 Cu
0.000 0.500 0.000 Te
0.500 0.000 0.000 Te
0.000 0.000 0.500 I
```

E above lowest polymorph ... 1.3489 eV/atom
Energy relative to the elements, uncorrected ... 1075 meV per atom
Space-group type ... P4/mmm
Calculated total energy ... -7.4 eV for the cell shown
D(E_F) ... 8.88 states/eV/f.u.